RbLa2MnB after structural relaxation. Source: Alexandria via LeMat-Bulk, functional PBE-GGA.

abc: 5.5861 5.5861 4.1011
angles: 90.00 90.00 90.00
Last column: nearest neighbours and their distance in Å.
Space group P4/mmm (No. 123)
Unique sites:
Rb 0.0000 0.0000 0.0000 (multiplicity 1)  8 La 3.46
La 0.0000 0.5000 0.5000 (multiplicity 2)  2 B 2.79
Mn 0.5000 0.5000 0.0000 (multiplicity 1)  2 B 2.05
B 0.5000 0.5000 0.5000 (multiplicity 1)  2 Mn 2.05

Computed properties:
energy of formation from the pure elements = 0.669 eV per atom
DOS(E_F) = 11.14 states/eV/cell

ReSiP2 after structural relaxation. Source: Alexandria via LeMat-Bulk, functional PBE-GGA.

abc: 5.3821 5.3821 10.3073
angles: 90.00 90.00 90.00
Last column: nearest neighbours and their distance in Å.
Space group I-42d (No. 122)
Unique sites:
Re 0.0000 0.0000 0.0000 (multiplicity 4)  4 P 2.30
Si 0.0000 0.0000 0.5000 (multiplicity 4)  4 P 2.29
P 0.2485 0.2500 0.6250 (multiplicity 8)  2 Si 2.29, 2 Re 2.30

Computed properties:
DOS(E_F) = 12.12 states/eV/cell
final energy = -7.04 eV/atom

Pm6Te5Pb after structural relaxation. Source: Alexandria via LeMat-Bulk, functional PBE-GGA.

abc: 7.7598 13.4195 7.7949
angles: 90.00 109.29 90.00
Last column: nearest neighbours and their distance in Å.
Space group C2/m (No. 12)
Unique sites:
Pm 0.2469 0.0000 0.2525 (multiplicity 4)  1 Pb 3.14, 5 Te 3.17-3.21
Pm 0.2470 0.1649 0.7473 (multiplicity 8)  1 Pb 3.14, 5 Te 3.17-3.20
Te 0.0000 0.1676 0.0000 (multiplicity 4)  6 Pm 3.17-3.20
Te 0.0000 0.3334 0.5000 (multiplicity 4)  6 Pm 3.17
Te 0.0000 0.5000 0.0000 (multiplicity 2)  6 Pm 3.17-3.21
Pb 0.0000 0.0000 0.5000 (multiplicity 2)  6 Pm 3.14

Computed properties:
DOS(E_F) = 13.59 states/eV/cell
final energy = -5.29 eV/atom

Li2HgPbF8 after structural relaxation. Source: Alexandria via LeMat-Bulk, functional PBE-GGA.

abc: 6.8729 6.7544 7.2741
angles: 90.00 92.67 90.00
Last column: nearest neighbours and their distance in Å.
Space group C2/m (No. 12)
Unique sites:
Li 0.0187 0.0000 0.2222 (multiplicity 4)  5 F 2.00-2.21
Hg 0.0000 0.5000 0.0000 (multiplicity 2)  2 F 2.14
Pb 0.0000 0.5000 0.5000 (multiplicity 2)  6 F 2.06-2.14
F 0.0030 0.2882 0.7187 (multiplicity 8)  1 Li 2.00, 1 Pb 2.14
F 0.1893 0.0000 0.0000 (multiplicity 4)  2 Li 2.04-2.11, 1 Hg 2.14
F 0.1995 0.0000 0.4820 (multiplicity 4)  1 Pb 2.06, 1 Li 2.21

Computed properties:
DOS(E_F) = 0.00 states/eV/cell
final energy = -4.05 eV/atom

TlNiAu2 after structural relaxation. Source: Alexandria via LeMat-Bulk, functional PBE-GGA.

abc: 6.5860 6.5860 6.5860
angles: 90.00 90.00 90.00
Last column: nearest neighbours and their distance in Å.
Space group F-43m (No. 216)
Unique sites:
Tl 0.0000 0.0000 0.0000 (multiplicity 4)  4 Ni 2.85, 4 Au 2.85
Ni 0.2500 0.2500 0.7500 (multiplicity 4)  4 Tl 2.85, 4 Au 2.85
Au 0.0000 0.0000 0.5000 (multiplicity 4)  4 Ni 2.85, 4 Au 2.85
Au 0.2500 0.2500 0.2500 (multiplicity 4)  4 Tl 2.85, 4 Au 2.85

Computed properties:
energy of formation from the pure elements = 0.215 eV per atom
DOS(E_F) = 11.49 states/eV/cell

RbCaScS2 after structural relaxation. Source: Alexandria via LeMat-Bulk, functional PBE-GGA.

abc: 5.1712 5.1712 5.7084
angles: 90.00 90.00 90.00
Last column: nearest neighbours and their distance in Å.
Space group P4/mmm (No. 123)
Unique sites:
Rb 0.0000 0.0000 0.0000 (multiplicity 1)  4 Ca 3.66, 8 S 3.85
Ca 0.5000 0.5000 0.0000 (multiplicity 1)  2 Sc 2.85
Sc 0.5000 0.5000 0.5000 (multiplicity 1)  4 S 2.59, 2 Ca 2.85
S 0.0000 0.5000 0.5000 (multiplicity 2)  2 Sc 2.59

Computed properties:
DOS(E_F) = 2.72 states/eV/cell
final energy = -4.11 eV/atom

Tl4Se2Cl after structural relaxation. Source: Alexandria via LeMat-Bulk, functional PBE-GGA.

abc: 8.0859 8.2540 8.5605
angles: 108.03 105.60 110.10
Last column: nearest neighbours and their distance in Å.
Space group P1 (No. 1)
Unique sites:
Tl 0.0000 0.0000 0.0000 (multiplicity 1)  2 Cl 3.11-3.12, 2 Se 3.24
Tl 0.0400 0.4756 0.9933 (multiplicity 1)  3 Se 3.16-3.42, 2 Cl 3.17-3.41
Tl 0.1477 0.3066 0.5105 (multiplicity 1)  3 Se 3.17-3.28
Tl 0.3948 0.7708 0.5030 (multiplicity 1)  3 Se 2.67-2.68, 1 Cl 2.76
Tl 0.4434 0.2267 0.9330 (multiplicity 1)  3 Se 3.02-3.31, 1 Cl 3.13
Tl 0.5351 0.8412 0.1018 (multiplicity 1)  3 Se 3.12-3.32, 1 Cl 3.20
Tl 0.6669 0.3215 0.5070 (multiplicity 1)  3 Se 3.16-3.33, 2 Cl 3.24-3.41
Tl 0.8815 0.7036 0.3769 (multiplicity 1)  4 Se 3.31-3.51, 2 Cl 3.38-3.66, 1 Tl 3.69
Se 0.2299 0.7499 0.7320 (multiplicity 1)  1 Tl 2.67
Se 0.2658 0.9383 0.3116 (multiplicity 1)  1 Tl 2.68
Se 0.3942 0.4528 0.2970 (multiplicity 1)  1 Tl 2.67
Se 0.8141 0.2588 0.1752 (multiplicity 1)  7 Tl 3.02-3.33
Cl 0.6985 0.5837 0.8951 (multiplicity 1)  5 Tl 3.12-3.24
Cl 0.7874 0.0192 0.6504 (multiplicity 1)  1 Tl 2.76

Computed properties:
final energy = -3.11 eV/atom

Hf2MgNi after structural relaxation. Source: Alexandria via LeMat-Bulk, functional PBE-GGA.

abc: 3.0304 3.0304 30.5124
angles: 90.00 90.00 120.00
Last column: nearest neighbours and their distance in Å.
Space group R-3m (No. 166, hexagonal axes)
Unique sites:
Hf 0.0000 0.0000 0.0994 (multiplicity 6)  3 Ni 2.70
Mg 0.0000 0.0000 0.0000 (multiplicity 3)  6 Mg 3.03, 2 Hf 3.03
Ni 0.0000 0.0000 0.5000 (multiplicity 3)  6 Hf 2.70

Computed properties:
energy of formation from the pure elements = 0.239 eV per atom
DOS(E_F) = 10.79 states/eV/cell

Mg2PtAu2 after structural relaxation. Source: Alexandria via LeMat-Bulk, functional PBE-GGA.

abc: 7.4469 7.4469 3.2252
angles: 90.00 90.00 90.00
Last column: nearest neighbours and their distance in Å.
Space group P4/mbm (No. 127)
Unique sites:
Mg 0.1683 0.3317 0.0000 (multiplicity 4)  6 Au 2.64-2.78
Pt 0.0000 0.0000 0.5000 (multiplicity 2)  4 Au 2.90, 8 Mg 3.21, 2 Pt 3.23
Au 0.1336 0.6336 0.5000 (multiplicity 4)  6 Mg 2.64-2.78, 1 Au 2.81, 2 Pt 2.90

Computed properties:
energy of formation from the pure elements = -0.455 eV per atom
DOS(E_F) = 4.73 states/eV/cell

HoCo4Si2 after structural relaxation. Source: Alexandria via LeMat-Bulk, functional PBE-GGA.

abc: 7.1298 7.1298 3.6015
angles: 90.00 90.00 90.00
Last column: nearest neighbours and their distance in Å.
Space group P4_2/mnm (No. 136)
Unique sites:
Ho 0.0000 0.0000 0.0000 (multiplicity 2)  6 Si 2.78-2.89
Co 0.0800 0.3468 0.5000 (multiplicity 8)  3 Si 2.33-2.34, 5 Co 2.46-2.51
Si 0.2245 0.7755 0.5000 (multiplicity 4)  6 Co 2.33-2.34

Computed properties:
DOS(E_F) = 12.66 states/eV/cell
final energy = -6.83 eV/atom

Pm6OsPd2 after structural relaxation. Source: Alexandria via LeMat-Bulk, functional PBE-GGA.

abc: 6.7106 7.5540 12.1674
angles: 90.00 121.50 90.00
Last column: nearest neighbours and their distance in Å.
Space group P2_1/c (No. 14)
Unique sites:
Pm 0.0930 0.1797 0.4314 (multiplicity 4)  1 Os 2.76, 2 Pd 2.96-3.07
Pm 0.2586 0.6784 0.4299 (multiplicity 4)  1 Os 2.79, 2 Pd 3.00-3.04
Pm 0.4029 0.0418 0.2497 (multiplicity 4)  1 Os 2.78, 2 Pd 2.96-2.99
Os 0.5000 0.0000 0.5000 (multiplicity 2)  6 Pm 2.76-2.79
Pd 0.1802 0.1162 0.7418 (multiplicity 4)  6 Pm 2.96-3.07

Computed properties:
energy of formation from the pure elements = -0.383 eV per atom
DOS(E_F) = 16.11 states/eV/cell

CaAg2Pd after structural relaxation. Source: Alexandria via LeMat-Bulk, functional PBE-GGA.

abc: 4.0562 4.0562 20.6177
angles: 90.00 90.00 90.00
Last column: nearest neighbours and their distance in Å.
Space group I-42d (No. 122)
Unique sites:
Ca 0.0000 0.0000 0.0000 (multiplicity 4)  4 Pd 2.87, 4 Ag 2.98
Ag 0.2300 0.2500 0.6250 (multiplicity 8)  4 Ag 2.76-2.99, 2 Pd 2.92, 2 Ca 2.98
Pd 0.0000 0.0000 0.5000 (multiplicity 4)  4 Ca 2.87, 4 Ag 2.92

Computed properties:
energy of formation from the pure elements = -0.157 eV per atom
DOS(E_F) = 4.31 states/eV/cell

Zn4CdNi5 after structural relaxation. Source: Alexandria via LeMat-Bulk, functional PBE-GGA.

abc: 2.8943 2.8943 15.2200
angles: 90.00 90.00 90.00
Last column: nearest neighbours and their distance in Å.
Space group P4/mmm (No. 123)
Unique sites:
Zn 0.0000 0.0000 0.0945 (multiplicity 2)  8 Ni 2.50
Zn 0.0000 0.0000 0.2849 (multiplicity 2)  8 Ni 2.49-2.52
Cd 0.0000 0.0000 0.5000 (multiplicity 1)  8 Ni 2.77, 4 Cd 2.89
Ni 0.5000 0.5000 0.0000 (multiplicity 1)  8 Zn 2.50
Ni 0.5000 0.5000 0.1887 (multiplicity 2)  8 Zn 2.50-2.52
Ni 0.5000 0.5000 0.3777 (multiplicity 2)  4 Zn 2.49, 4 Cd 2.77

Computed properties:
energy of formation from the pure elements = -0.175 eV per atom
DOS(E_F) = 6.60 states/eV/cell

TaSiIr2 after structural relaxation. Source: Alexandria via LeMat-Bulk, functional PBE-GGA.

abc: 2.8684 2.8684 7.0732
angles: 90.00 90.00 90.00
Last column: nearest neighbours and their distance in Å.
Space group P4/mmm (No. 123)
Unique sites:
Ta 0.0000 0.0000 0.0000 (multiplicity 1)  4 Ta 2.87, 8 Ir 2.88
Si 0.0000 0.0000 0.5000 (multiplicity 1)  8 Ir 2.51
Ir 0.5000 0.5000 0.2900 (multiplicity 2)  4 Si 2.51

Computed properties:
DOS(E_F) = 1.27 states/eV/cell
final energy = -9.40 eV/atom

YBe2Br after structural relaxation. Source: Alexandria via LeMat-Bulk, functional PBE-GGA.

abc: 5.4700 7.9632 3.6256
angles: 90.00 90.00 90.00
Last column: nearest neighbours and their distance in Å.
Space group Cmmm (No. 65)
Unique sites:
Y 0.0000 0.0000 0.0000 (multiplicity 2)  2 Br 2.73, 8 Be 3.02
Be 0.2500 0.2500 0.5000 (multiplicity 4)  2 Be 2.73, 4 Br 3.02, 4 Y 3.02
Br 0.0000 0.5000 0.0000 (multiplicity 2)  2 Y 2.73, 8 Be 3.02

Computed properties:
DOS(E_F) = 4.19 states/eV/cell
final energy = -3.54 eV/atom

Pm6ZnRu2 after structural relaxation. Source: Alexandria via LeMat-Bulk, functional PBE-GGA.

abc: 10.1218 5.2424 9.0932
angles: 90.00 100.11 90.00
Last column: nearest neighbours and their distance in Å.
Space group C2/m (No. 12)
Unique sites:
Pm 0.0418 0.0000 0.3383 (multiplicity 4)  1 Zn 3.03, 2 Ru 3.14, 4 Pm 3.14-3.33
Pm 0.1548 0.5000 0.8939 (multiplicity 4)  1 Ru 2.62
Pm 0.2125 0.5000 0.3350 (multiplicity 4)  1 Ru 2.79
Zn 0.0000 0.0000 0.0000 (multiplicity 2)  6 Pm 3.03-3.28
Ru 0.1111 0.5000 0.6012 (multiplicity 4)  2 Pm 2.62-2.79, 1 Ru 2.64

Computed properties:
energy of formation from the pure elements = -0.159 eV per atom
DOS(E_F) = 17.38 states/eV/cell

Nd8CdAg2 after structural relaxation. Source: Alexandria via LeMat-Bulk, functional PBE-GGA.

abc: 18.3914 5.3060 7.4245
angles: 90.00 108.35 90.00
Last column: nearest neighbours and their distance in Å.
Space group C2/m (No. 12)
Unique sites:
Nd 0.0289 0.0000 0.2640 (multiplicity 4)  1 Ag 3.04, 2 Cd 3.31
Nd 0.0909 0.5000 0.9642 (multiplicity 4)  1 Cd 3.32, 2 Ag 3.36, 6 Nd 3.52-3.63
Nd 0.1710 0.5000 0.4709 (multiplicity 4)  1 Ag 2.97, 1 Cd 3.22
Nd 0.1916 0.0000 0.8067 (multiplicity 4)  1 Ag 3.00
Cd 0.0000 0.5000 0.5000 (multiplicity 2)  8 Nd 3.22-3.32
Ag 0.1850 0.0000 0.2049 (multiplicity 4)  3 Nd 2.97-3.04

Computed properties:
energy of formation from the pure elements = -0.108 eV per atom
DOS(E_F) = 22.80 states/eV/cell

Ce5TmIn2 after structural relaxation. Source: Alexandria via LeMat-Bulk, functional PBE-GGA.

abc: 6.8504 13.7457 4.6222
angles: 90.00 90.00 90.00
Last column: nearest neighbours and their distance in Å.
Space group Pbam (No. 55)
Unique sites:
Ce 0.0000 0.0000 0.0000 (multiplicity 2)  6 Ce 3.21-3.38, 4 In 3.34, 2 Tm 3.43
Ce 0.0349 0.2328 0.0000 (multiplicity 4)  3 Ce 2.96-3.21
Ce 0.2276 0.1387 0.5000 (multiplicity 4)  2 Ce 2.96
Tm 0.0000 0.5000 0.0000 (multiplicity 2)  4 In 3.24, 6 Ce 3.43-3.53
In 0.2359 0.3837 0.5000 (multiplicity 4)  2 Tm 3.24, 10 Ce 3.34-3.51

Computed properties:
energy of formation from the pure elements = -0.201 eV per atom
DOS(E_F) = 43.15 states/eV/cell

ErAg2TeO6 after structural relaxation. Source: Alexandria via LeMat-Bulk, functional PBE-GGA.

abc: 5.6798 5.6798 14.2605
angles: 90.00 90.00 120.00
Last column: nearest neighbours and their distance in Å.
Space group R3 (No. 146, hexagonal axes)
Unique sites:
Er 0.0000 0.0000 0.0000 (multiplicity 3)  6 O 2.25
Ag 0.0000 0.0000 0.2544 (multiplicity 3)  3 O 2.29
Ag 0.0000 0.0000 0.7485 (multiplicity 3)  3 O 2.28
Te 0.0000 0.0000 0.4999 (multiplicity 3)  6 O 1.95-1.96
O 0.0293 0.4156 0.2454 (multiplicity 9)  1 Te 1.95
O 0.0825 0.7191 0.0872 (multiplicity 9)  1 Te 1.96

Computed properties:
DOS(E_F) = 31.09 states/eV/cell
final energy = -5.62 eV/atom

ReSb2Te after structural relaxation. Source: Alexandria via LeMat-Bulk, functional PBE-GGA.

abc: 3.3616 5.4792 10.6365
angles: 90.00 90.00 90.00
Last column: nearest neighbours and their distance in Å.
Space group Amm2 (No. 38)
Unique sites:
Re 0.0000 0.0000 0.0000 (multiplicity 2)  2 Te 2.65, 4 Sb 2.74
Sb 0.0000 0.0000 0.4955 (multiplicity 2)  2 Re 2.74
Sb 0.5000 0.0000 0.2030 (multiplicity 2)  2 Re 2.74, 2 Te 2.95
Te 0.5000 0.0000 0.8068 (multiplicity 2)  2 Re 2.65, 2 Sb 2.95

Computed properties:
DOS(E_F) = 4.39 states/eV/cell
final energy = -5.66 eV/atom